Material: Pm2AgSb3Pt4
Method: DFT, PBE-GGA
State: relaxed

```
Pm2AgSb3Pt4
1.0
4.5558 0.0000 0.0000
0.0000 4.5558 0.0000
0.0000 0.0000 10.6986
Pm Ag Sb Pt
2 1 3 4
Direct
0.0000 0.5000 0.2412
0.5000 0.0000 0.7588
0.0000 0.0000 0.5000
0.0000 0.5000 0.8688
0.5000 0.0000 0.1312
0.5000 0.5000 0.5000
0.0000 0.0000 0.0000
0.0000 0.5000 0.6318
0.5000 0.0000 0.3682
0.5000 0.5000 0.0000
```

Results
Its size of the total moment is 0.00 μB per cell. Its formation energy without anion corrections is -0.74 eV/atom.